(1)
Entry from the Alexandria database: an optimized crystal structure of EuPu2Sb (GGA-PBE).

Cell: 5.083 4.685 4.685 Å, 90.00 90.00 90.00°
Each line ends with the local moment (μB).
Fractional positions:
1 Pu 0.000 0.000 0.500  5.81
2 Pu 0.000 0.500 0.000  5.81
3 Sb 0.500 0.000 0.000  -0.12
4 Eu 0.500 0.500 0.500  7.03

Energy = -11.13 eV/atom
DOS(E_F) = 13.3 states/eV/f.u.
Raw formation energy = -367 meV/atom
Magnetic moment = 19.9 μB per formula unit
Symmetry = P4/mmm, No. 123

(2)
Entry from the Alexandria database: an optimized crystal structure of PrPaPt2 (GGA-PBE).

Cell: 4.375 7.931 7.783 Å, 135.27 90.00 90.00°
Fractional positions:
1 Pt 0.250 0.677 0.619
2 Pt 0.750 0.295 0.828
3 Pt 0.250 0.705 0.172
4 Pt 0.750 0.323 0.381
5 Pa 0.750 0.766 0.451
6 Pa 0.250 0.234 0.549
7 Pr 0.750 0.783 0.965
8 Pr 0.250 0.217 0.035

Energy = -7.60 eV/atom
DOS(E_F) = 4.4 states/eV/f.u.
Excess energy over the best structure of this formula in the dataset = 0 meV per atom
Calculated formation energy = -4.1 eV per formula unit
Magnetic moment = 0.0 μB per formula unit
Symmetry = P2_1/m, No. 11